Material: NaHf2TiTl
Method: DFT, PBE-GGA
State: relaxed

Computed properties:
**Total DFT energy (no corrections)**: -4.747 eV/atom
**Energy of formation**: 150 kJ per mole of atoms
**Calculated volume**: 119.99 Å³ per cell

Cell and atoms, written as CIF:
```
data_NaHf2TiTl
_cell_length_a 4.9487
_cell_length_b 4.9487
_cell_length_c 4.8994
_cell_angle_alpha 90.00
_cell_angle_beta 90.00
_cell_angle_gamma 90.00
_symmetry_space_group_name_H-M 'P 4/m m m'
_symmetry_Int_Tables_number 123
_symmetry_space_group_name_Hall '-P 4 2'
loop_
_atom_site_label
_atom_site_fract_x
_atom_site_fract_y
_atom_site_fract_z
_atom_site_occupancy
Na1 0.0000 0.0000 0.0000 1
Hf1 0.0000 0.5000 0.0000 1
Ti1 0.5000 0.5000 0.5000 1
Tl1 0.0000 0.0000 0.5000 1
```